{"formula": "ScMn2MoO", "functional": "PBE with a Hubbard U", "state": "optimized geometry", "crystal_system": "tetragonal", "e_tot_ev_per_atom": -4.628, "dos_ef_per_ev_cell": 6.12, "magmom_total_mub_per_atom": 2.5749, "cell": [[5.226, 0.000, 0.000], [0.000, 4.932, 0.000], [0.000, 0.000, 5.226]], "species": ["O", "Mn", "Mo", "Sc", "Mn"], "fractional_positions": [[0.500, 0.500, 0.500], [0.500, 0.000, 0.000], [0.000, 0.500, 0.000], [0.000, 0.000, 0.000], [0.000, 0.000, 0.500]]}